(1)
Crystalline LiHoGa2Pt4 at its relaxed geometry. Source: Alexandria via LeMat-Bulk, functional PBE.

```
LiHoGa2Pt4
1.0
2.1624 1.2485 8.1379
-2.1624 1.2485 8.1379
0.0000 -2.4970 8.1379
Li Ho Ga Pt
1 1 2 4
Direct
0.0000 0.0000 0.0000
0.5000 0.5000 0.5000
0.2590 0.2590 0.2590
0.7410 0.7410 0.7410
0.0999 0.0999 0.0999
0.3693 0.3693 0.3693
0.6307 0.6307 0.6307
0.9001 0.9001 0.9001
```

Computed properties:
M_tot (μB per formula unit): 0.0
ΔH_f (0 K) (eV/atom): -0.857
VASP energy (eV for the cell shown): -43.6

***

(2)
Crystalline LiHo2Ga2Rh5 at its relaxed geometry. Source: Alexandria via LeMat-Bulk, functional PBE.

```
LiHo2Ga2Rh5
1.0
9.7633 0.0000 0.0000
0.0000 9.7633 0.0000
0.0000 0.0000 3.4988
Li Ho Ga Rh
2 4 4 10
Direct
0.0000 0.0000 0.0000
0.5000 0.5000 0.0000
0.1724 0.3276 0.0000
0.3276 0.8276 0.0000
0.6724 0.1724 0.0000
0.8276 0.6724 0.0000
0.1273 0.6273 0.0000
0.3727 0.1273 0.0000
0.6273 0.8727 0.0000
0.8727 0.3727 0.0000
0.0000 0.5000 0.5000
0.0680 0.7996 0.5000
0.2004 0.0680 0.5000
0.2996 0.5680 0.5000
0.4320 0.2996 0.5000
0.5000 0.0000 0.5000
0.5680 0.7004 0.5000
0.7004 0.4320 0.5000
0.7996 0.9320 0.5000
0.9320 0.2004 0.5000
```

Computed properties:
M_tot (μB per formula unit): 0.0
ΔH_f (0 K) (eV/atom): -0.663
VASP energy (eV for the cell shown): -121.0

***

(3)
Crystalline LiHoGaRh at its relaxed geometry. Source: Alexandria via LeMat-Bulk, functional PBE.

```
LiHoGaRh
1.0
0.0000 3.2511 3.2511
3.2511 0.0000 3.2511
3.2511 3.2511 0.0000
Li Ho Ga Rh
1 1 1 1
Direct
0.0000 0.0000 0.0000
0.2500 0.2500 0.2500
0.7500 0.7500 0.7500
0.5000 0.5000 0.5000
```

Computed properties:
M_tot (μB per formula unit): 0.0
ΔH_f (0 K) (eV/atom): -0.582
VASP energy (eV for the cell shown): -19.2

***

(4)
Crystalline LiHoGa4Rh2 at its relaxed geometry. Source: Alexandria via LeMat-Bulk, functional PBE.

```
LiHoGa4Rh2
1.0
2.1351 1.2327 8.2770
-2.1351 1.2327 8.2770
0.0000 -2.4654 8.2770
Li Ho Ga Rh
1 1 4 2
Direct
0.0000 0.0000 0.0000
0.5000 0.5000 0.5000
0.1020 0.1020 0.1020
0.3692 0.3692 0.3692
0.6308 0.6308 0.6308
0.8980 0.8980 0.8980
0.2624 0.2624 0.2624
0.7376 0.7376 0.7376
```

Computed properties:
M_tot (μB per formula unit): 0.0
ΔH_f (0 K) (eV/atom): -0.620
VASP energy (eV for the cell shown): -38.3